1.
A plane-wave DFT calculation with GGA-PBE was carried out for an optimized crystal structure of SrIr2Ru.

```
SrIr2Ru
1.0
4.546 -1.419 0.000
4.546 1.419 0.000
-0.935 0.000 5.928
Sr Ir Ru
1 2 1
Cartesian
0.000 0.000 0.000
1.544 0.000 3.997
6.612 0.000 1.932
4.078 0.000 2.964
```

Values from the calculation:
Relative energy among the computed polymorphs: 143.9 meV per atom

=====

2.
A plane-wave DFT calculation with GGA-PBE was carried out for an optimized crystal structure of SrIr2Ru.

```
SrIr2Ru
1.0
2.912 0.000 0.000
0.000 2.912 0.000
0.000 0.000 8.396
Sr Ir Ru
1 2 1
Cartesian
0.000 0.000 0.000
0.000 0.000 4.219
1.456 1.456 2.455
1.456 1.456 5.877
```

Values from the calculation:
Relative energy among the computed polymorphs: 144.3 meV per atom

=====

3.
A plane-wave DFT calculation with GGA-PBE was carried out for an optimized crystal structure of Sr2IrRu.

```
Sr2IrRu
1.0
3.342 -4.263 0.000
3.342 4.263 0.000
0.000 0.000 3.244
Sr Ir Ru
2 1 1
Cartesian
1.671 2.132 0.000
1.671 -2.132 0.000
0.000 0.000 1.622
3.342 0.000 1.622
```

=====

4.
A plane-wave DFT calculation with GGA-PBE was carried out for an optimized crystal structure of SrIr2Ru.

```
SrIr2Ru
1.0
4.633 -1.446 0.000
4.633 1.446 0.000
-1.031 0.000 5.677
Sr Ir Ru
1 2 1
Cartesian
0.000 0.000 0.000
4.110 0.000 2.897
6.776 0.000 1.776
1.475 0.000 3.753
```

Values from the calculation:
Relative energy among the computed polymorphs: 107.2 meV per atom

=====

5.
A plane-wave DFT calculation with GGA-PBE was carried out for an optimized crystal structure of SrIr2Ru.

```
SrIr2Ru
1.0
2.902 0.000 0.000
0.000 2.902 0.000
0.000 0.000 8.359
Sr Ir Ru
1 2 1
Cartesian
0.000 0.000 0.000
1.451 1.451 2.471
1.451 1.451 5.888
0.000 0.000 4.180
```

Values from the calculation:
Relative energy among the computed polymorphs: 0.0 meV per atom

=====

6.
A plane-wave DFT calculation with GGA-PBE was carried out for an optimized crystal structure of SrIr2Ru.

```
SrIr2Ru
1.0
2.831 0.000 0.000
0.000 4.604 0.000
-1.254 0.000 5.708
Sr Ir Ru
1 2 1
Cartesian
0.000 0.000 0.000
0.068 2.302 3.954
1.510 2.302 1.754
0.789 0.000 2.854
```

Values from the calculation:
Relative energy among the computed polymorphs: 247.8 meV per atom

=====

no.,energy (eV/atom)
1,-6.791
2,-6.790
3,-4.822
4,-6.827
5,-6.935
6,-6.687